A relaxed structure of FePW4N2. Source: OQMD, functional PBE-GGA.

Lattice parameters (Å, degrees): 2.8955 2.8955 13.5936 90.00 90.00 120.00
Space group P-6m2 (No. 187)
Symmetry-distinct sites (fractional):
Fe (0.0000, 0.0000, 0.0000) [1 per cell]
P (0.6667, 0.3333, 0.5000) [1 per cell]
W (0.0000, 0.0000, 0.3636) [2 per cell]
W (0.6667, 0.3333, 0.1546) [2 per cell]
N (0.3333, 0.6667, 0.2571) [2 per cell]

Computed properties:
* volume: 12.3 Å³ per atom
* final energy: -80.80 eV for the cell shown



A relaxed structure of YTlHgS3. Source: OQMD, functional PBE-GGA.

Lattice parameters (Å, degrees): 14.305 4.121 11.031 90.00 90.00 90.00
Space group Pnma (No. 62)
Symmetry-distinct sites (fractional):
Y (0.025, 0.250, 0.152) [4 per cell]
Tl (0.247, 0.250, 0.451) [4 per cell]
Hg (0.021, 0.750, 0.393) [4 per cell]
S (0.090, 0.750, 0.627) [4 per cell]
S (0.092, 0.250, 0.924) [4 per cell]
S (0.143, 0.750, 0.228) [4 per cell]

Computed properties:
* volume: 27.1 Å³ per atom
* final energy: -108.99 eV for the cell shown



A relaxed structure of LaPrNi2Pb. Source: OQMD, functional PBE-GGA.

Lattice parameters (Å, degrees): 3.837 4.137 14.652 90.00 90.00 90.00
Space group Amm2 (No. 38)
Symmetry-distinct sites (fractional):
La (0.000, 0.000, 0.000) [2 per cell]
Pr (0.000, 0.000, 0.277) [2 per cell]
Ni (0.500, 0.000, 0.437) [2 per cell]
Ni (0.500, 0.000, 0.842) [2 per cell]
Pb (0.500, 0.000, 0.638) [2 per cell]

Computed properties:
* volume: 23.3 Å³ per atom
* final energy: -53.62 eV for the cell shown



A relaxed structure of LiZr. Source: OQMD, functional PBE-GGA.

Lattice parameters (Å, degrees): 3.068 5.172 10.379 90.00 90.00 90.00
Space group Pmmn (No. 59, origin choice 2)
Symmetry-distinct sites (fractional):
Li (0.250, 0.250, 0.020) [2 per cell]
Li (0.250, 0.750, 0.193) [2 per cell]
Zr (0.250, 0.250, 0.545) [2 per cell]
Zr (0.250, 0.750, 0.711) [2 per cell]

Computed properties:
* volume: 20.6 Å³ per atom
* final energy: -40.66 eV for the cell shown



A relaxed structure of HfNbGaCo. Source: OQMD, functional PBE-GGA.

Lattice parameters (Å, degrees): 6.386 6.386 6.386 90.00 90.00 90.00
Space group F-43m (No. 216)
Symmetry-distinct sites (fractional):
Hf (0.000, 0.000, 0.000) [4 per cell]
Nb (0.250, 0.250, 0.250) [4 per cell]
Ga (0.000, 0.000, 0.500) [4 per cell]
Co (0.250, 0.250, 0.750) [4 per cell]

Computed properties:
* volume: 16.3 Å³ per atom
* final energy: -120.50 eV for the cell shown



A relaxed structure of RbTbNiS3. Source: OQMD, functional PBE-GGA.

Lattice parameters (Å, degrees): 10.959 4.141 12.046 90.00 90.00 90.00
Space group Pnma (No. 62)
Symmetry-distinct sites (fractional):
Rb (0.162, 0.250, 0.007) [4 per cell]
Tb (0.010, 0.250, 0.660) [4 per cell]
Ni (0.241, 0.250, 0.292) [4 per cell]
S (0.055, 0.750, 0.805) [4 per cell]
S (0.115, 0.250, 0.447) [4 per cell]
S (0.225, 0.750, 0.229) [4 per cell]

Computed properties:
* volume: 22.8 Å³ per atom
* final energy: -124.01 eV for the cell shown



A relaxed structure of Sr2SmC4. Source: OQMD, functional PBE-GGA.

Lattice parameters (Å, degrees): 7.018 9.830 4.871 90.00 90.23 90.00
Space group C2/m (No. 12)
Symmetry-distinct sites (fractional):
Sr (0.250, 0.250, 0.000) [4 per cell]
Sm (0.000, 0.000, 0.500) [2 per cell]
C (0.000, 0.235, 0.500) [4 per cell]
C (0.091, 0.000, 0.001) [4 per cell]

Computed properties:
* volume: 24.0 Å³ per atom
* final energy: -76.13 eV for the cell shown



A relaxed structure of Nb4Ni3W2C3. Source: OQMD, functional PBE-GGA.

Lattice parameters (Å, degrees): 9.321 5.376 13.094 90.00 103.72 90.00
Space group C2/c (No. 15)
Symmetry-distinct sites (fractional):
Nb (0.117, 0.080, 0.102) [8 per cell]
Nb (0.214, 0.086, 0.398) [8 per cell]
Ni (0.000, 0.130, 0.750) [4 per cell]
Ni (0.142, 0.444, 0.249) [8 per cell]
W (0.058, 0.414, 0.915) [8 per cell]
C (0.084, 0.247, 0.500) [8 per cell]
C (0.250, 0.250, 0.000) [4 per cell]

Computed properties:
* volume: 13.3 Å³ per atom
* final energy: -450.58 eV for the cell shown



A relaxed structure of NaNbF6. Source: OQMD, functional PBE-GGA.

Lattice parameters (Å, degrees): 4.722 4.722 8.738 90.00 90.00 90.00
Space group P-4c2 (No. 116)
Symmetry-distinct sites (fractional):
Na (0.000, 0.000, 0.000) [2 per cell]
Nb (0.500, 0.500, 0.250) [2 per cell]
F (0.211, 0.211, 0.250) [4 per cell]
F (0.289, 0.299, 0.597) [8 per cell]

Computed properties:
* volume: 12.2 Å³ per atom
* final energy: -92.80 eV for the cell shown



A relaxed structure of SrNiIr2. Source: OQMD, functional PBE-GGA.

Lattice parameters (Å, degrees): 6.527 6.527 6.527 90.00 90.00 90.00
Space group F-43m (No. 216)
Symmetry-distinct sites (fractional):
Sr (0.000, 0.000, 0.000) [4 per cell]
Ni (0.250, 0.250, 0.250) [4 per cell]
Ir (0.000, 0.000, 0.500) [4 per cell]
Ir (0.250, 0.250, 0.750) [4 per cell]

Computed properties:
* volume: 17.4 Å³ per atom
* final energy: -90.85 eV for the cell shown



A relaxed structure of RbHfCu3Te4. Source: OQMD, functional PBE-GGA.

Lattice parameters (Å, degrees): 6.691 6.691 6.691 90.00 90.00 90.00
Space group P-43m (No. 215)
Symmetry-distinct sites (fractional):
Rb (0.000, 0.000, 0.000) [1 per cell]
Hf (0.500, 0.500, 0.500) [1 per cell]
Cu (0.000, 0.500, 0.500) [3 per cell]
Te (0.271, 0.271, 0.271) [4 per cell]

Computed properties:
* volume: 33.3 Å³ per atom
* final energy: -37.59 eV for the cell shown



A relaxed structure of BaNd2O4. Source: OQMD, functional PBE-GGA.

Lattice parameters (Å, degrees): 10.298 10.298 10.298 90.00 90.00 90.00
Space group Fd-3m (No. 227, origin choice 2)
Symmetry-distinct sites (fractional):
Ba (0.125, 0.125, 0.125) [8 per cell]
Nd (0.000, 0.000, 0.500) [16 per cell]
O (0.018, 0.018, 0.732) [32 per cell]

Computed properties:
* volume: 19.5 Å³ per atom
* final energy: -424.57 eV for the cell shown



Repeat the twelfth record exactly.
A relaxed structure of BaNd2O4. Source: OQMD, functional PBE-GGA.

Lattice parameters (Å, degrees): 10.298 10.298 10.298 90.00 90.00 90.00
Space group Fd-3m (No. 227, origin choice 2)
Symmetry-distinct sites (fractional):
Ba (0.125, 0.125, 0.125) [8 per cell]
Nd (0.000, 0.000, 0.500) [16 per cell]
O (0.018, 0.018, 0.732) [32 per cell]

Computed properties:
* volume: 19.5 Å³ per atom
* final energy: -424.57 eV for the cell shown



Which value of final energy does entry 10 give?
-90.85 eV for the cell shown



Look up the volume of the first one.
12.3 Å³ per atom